{
  "formula": "GeMo2C4",
  "functional": "GGA-PBE",
  "state": "optimized geometry",
  "formation_energy_ev_per_atom": 1.856,
  "space_group": "I4/mmm, No. 139",
  "cell": [[3.889, 0.000, 0.000], [0.000, 3.889, 0.000], [1.945, 1.945, 5.377]],
  "species": ["Ge", "Mo", "Mo", "C", "C", "C", "C"],
  "fractional_positions": [[0.000, 0.000, 0.000], [0.369, 0.369, 0.262], [0.631, 0.631, 0.738], [0.500, 0.000, 0.000], [0.194, 0.194, 0.613], [0.000, 0.500, 0.000], [0.806, 0.806, 0.387]]
}